# K2TlOsCl8

Crystalline K2TlOsCl8 at its relaxed geometry (PBE-GGA, Alexandria).

Geometry as CIF:
```
data_K2TlOsCl8
_cell_length_a 6.518
_cell_length_b 6.814
_cell_length_c 9.069
_cell_angle_alpha 89.97
_cell_angle_beta 89.96
_cell_angle_gamma 87.75
_symmetry_space_group_name_H-M 'P -1'
_symmetry_Int_Tables_number 2
loop_
_symmetry_equiv_pos_as_xyz
'x,y,z'
'-x,-y,-z'
loop_
_atom_site_label
_atom_site_type_symbol
_atom_site_fract_x
_atom_site_fract_y
_atom_site_fract_z
K1 K 0.001 0.000 0.238
Tl1 Tl 0.500 0.500 0.500
Os1 Os 0.500 0.500 0.000
Cl1 Cl 0.214 0.817 0.500
Cl2 Cl 0.286 0.384 0.815
Cl3 Cl 0.286 0.385 0.185
Cl4 Cl 0.315 0.800 0.999
```

Summary:
- Total magnetic moment: 2.36 Bohr magnetons per cell
- N(E_F): 5.2 states/eV/cell
- Formation energy from raw total energies: -0.996 eV/atom